VASP calculation (PBE-GGA) on a relaxed structure of Tb6Pm2Sc.

Computed properties:
Offset from the most stable computed form, meV/atom: 0
Space-group type: C2/c
N(E_F), states/eV/f.u.: 13.2
Theoretical density, kg/m3: 7523
E, eV/atom: -4.75
Formation energy from the elements, eV per atom: 0.10

Unit cell a=6.0830 b=9.9912 c=9.9912 alpha=70.58 beta=84.58 gamma=84.58
With the nearest neighbours (Å) after each atom.
Element x y z (fractional)
Tb (0.4893, 0.6907, 0.4064)  4 Tb 3.30-3.64, 1 Sc 3.40, 3 Pm 3.45-3.59
Tb (0.0107, 0.5936, 0.3093)  4 Tb 3.30-3.64, 1 Sc 3.40, 3 Pm 3.45-3.59
Tb (0.5107, 0.3093, 0.5936)  4 Tb 3.30-3.64, 1 Sc 3.40, 3 Pm 3.45-3.59
Tb (0.9893, 0.4064, 0.6907)  4 Tb 3.30-3.64, 1 Sc 3.40, 3 Pm 3.45-3.59
Tb (0.6393, 0.0668, 0.3424)  4 Tb 3.35-3.51, 1 Sc 3.35, 3 Pm 3.43-3.51
Tb (0.8607, 0.6576, 0.9332)  4 Tb 3.35-3.51, 1 Sc 3.35, 3 Pm 3.43-3.51
Tb (0.3607, 0.9332, 0.6576)  4 Tb 3.35-3.51, 1 Sc 3.35, 3 Pm 3.43-3.51
Tb (0.1393, 0.3424, 0.0668)  4 Tb 3.35-3.51, 1 Sc 3.35, 3 Pm 3.43-3.51
Tb (0.3273, 0.7565, 0.0260)  2 Sc 3.27-3.31, 5 Tb 3.30-3.56, 2 Pm 3.46-3.59
Tb (0.1727, 0.9740, 0.2435)  2 Sc 3.27-3.31, 5 Tb 3.30-3.56, 2 Pm 3.46-3.59
Tb (0.6727, 0.2435, 0.9740)  2 Sc 3.27-3.31, 5 Tb 3.30-3.56, 2 Pm 3.46-3.59
Tb (0.8273, 0.0260, 0.7565)  2 Sc 3.27-3.31, 5 Tb 3.30-3.56, 2 Pm 3.46-3.59
Pm (0.4360, 0.5688, 0.7734)  9 Tb 3.43-3.74
Pm (0.0640, 0.2266, 0.4312)  9 Tb 3.43-3.74
Pm (0.5640, 0.4312, 0.2266)  9 Tb 3.43-3.74
Pm (0.9360, 0.7734, 0.5688)  9 Tb 3.43-3.74
Sc (0.2500, 0.1027, 0.8973)  8 Tb 3.27-3.40
Sc (0.7500, 0.8973, 0.1027)  8 Tb 3.27-3.40

=====

VASP calculation (PBE-GGA) on a relaxed structure of Tb10PmSc6.

Computed properties:
Space-group type: P-31m
N(E_F), states/eV/f.u.: 31.7
Theoretical density, kg/m3: 6535
E, eV/atom: -5.10
Formation energy from the elements, eV per atom: 0.14

Unit cell a=6.6596 b=9.3966 c=9.3966 alpha=120.00 beta=90.00 gamma=90.00
With the nearest neighbours (Å) after each atom.
Element x y z (fractional)
Tb (0.8238, 0.7154, 0.7154)  5 Sc 3.27-3.43, 1 Pm 3.44, 4 Tb 3.56-3.58
Tb (0.8238, 0.0000, 0.2846)  5 Sc 3.27-3.43, 1 Pm 3.44, 4 Tb 3.56-3.58
Tb (0.8238, 0.2846, 0.0000)  5 Sc 3.27-3.43, 1 Pm 3.44, 4 Tb 3.56-3.58
Tb (0.1762, 0.2846, 0.2846)  5 Sc 3.27-3.43, 1 Pm 3.44, 4 Tb 3.56-3.58
Tb (0.1762, 0.0000, 0.7154)  5 Sc 3.27-3.43, 1 Pm 3.44, 4 Tb 3.56-3.58
Tb (0.1762, 0.7154, 0.0000)  5 Sc 3.27-3.43, 1 Pm 3.44, 4 Tb 3.56-3.58
Tb (0.5000, 0.3333, 0.6667)  6 Sc 3.22, 2 Tb 3.33
Tb (0.5000, 0.6667, 0.3333)  6 Sc 3.22, 2 Tb 3.33
Tb (0.0000, 0.6667, 0.3333)  8 Tb 3.33-3.58, 6 Sc 3.69
Tb (0.0000, 0.3333, 0.6667)  8 Tb 3.33-3.58, 6 Sc 3.69
Pm (0.5000, 0.0000, 0.0000)  6 Tb 3.44, 6 Sc 3.63
Sc (0.6766, 0.3655, 0.3655)  7 Tb 3.22-3.43, 1 Sc 3.45
Sc (0.6766, 0.0000, 0.6345)  7 Tb 3.22-3.43, 1 Sc 3.45
Sc (0.6766, 0.6345, 0.0000)  7 Tb 3.22-3.43, 1 Sc 3.45
Sc (0.3234, 0.6345, 0.6345)  7 Tb 3.22-3.43, 1 Sc 3.45
Sc (0.3234, 0.0000, 0.3655)  7 Tb 3.22-3.43, 1 Sc 3.45
Sc (0.3234, 0.3655, 0.0000)  7 Tb 3.22-3.43, 1 Sc 3.45

=====

VASP calculation (PBE-GGA) on a relaxed structure of Tb4Pm4Sc3.

Computed properties:
Space-group type: C2/m
N(E_F), states/eV/f.u.: 21.1
Theoretical density, kg/m3: 6690
E, eV/atom: -5.03
Formation energy from the elements, eV per atom: 0.11

Unit cell a=3.4323 b=5.5844 c=17.7918 alpha=81.00 beta=84.46 gamma=90.01
With the nearest neighbours (Å) after each atom.
Element x y z (fractional)
Tb (0.5457, 0.5463, 0.9086)  2 Pm 3.19, 3 Tb 3.20-3.43, 2 Sc 3.54
Tb (0.4543, 0.4538, 0.0913)  2 Pm 3.19, 3 Tb 3.20-3.43, 2 Sc 3.54
Tb (0.3208, 0.8207, 0.3582)  3 Pm 3.13-3.31, 2 Tb 3.43
Tb (0.6792, 0.1793, 0.6418)  3 Pm 3.13-3.31, 2 Tb 3.43
Pm (0.5894, 0.0900, 0.8209)  3 Tb 3.13-3.19, 2 Pm 3.43
Pm (0.2701, 0.2700, 0.4599)  4 Tb 3.31-3.61, 6 Pm 3.43-3.56
Pm (0.7299, 0.7300, 0.5401)  4 Tb 3.31-3.61, 6 Pm 3.43-3.56
Pm (0.4106, 0.9100, 0.1791)  3 Tb 3.13-3.19, 2 Pm 3.43
Sc (0.1343, 0.6349, 0.7314)  2 Sc 3.43, 6 Tb 3.54-3.63, 6 Pm 3.63-3.76
Sc (0.8658, 0.3651, 0.2686)  2 Sc 3.43, 6 Tb 3.54-3.63, 6 Pm 3.63-3.76
Sc (0.0000, 0.0000, 0.0000)  2 Sc 3.43, 4 Pm 3.57, 8 Tb 3.64-3.65

=====

VASP calculation (PBE-GGA) on a relaxed structure of Tb4Pm2Sc.

Computed properties:
Offset from the most stable computed form, meV/atom: 264
Space-group type: I4/mmm
N(E_F), states/eV/f.u.: 8.6
Theoretical density, kg/m3: 6434
E, eV/atom: -4.34
Formation energy from the elements, eV per atom: 0.56

Unit cell a=5.3735 b=5.3735 c=9.4719 alpha=106.48 beta=106.48 gamma=90.00
With the nearest neighbours (Å) after each atom.
Element x y z (fractional)
Tb (0.8240, 0.8240, 0.6481)  1 Sc 3.05
Tb (0.1760, 0.1760, 0.3519)  1 Sc 3.05
Tb (0.0000, 0.5000, 0.0000)  2 Sc 2.69
Tb (0.5000, 0.0000, 0.0000)  2 Sc 2.69
Pm (0.6256, 0.6256, 0.2513)  5 Tb 3.44-3.46
Pm (0.3744, 0.3744, 0.7487)  5 Tb 3.44-3.46
Sc (0.0000, 0.0000, 0.0000)  4 Tb 2.69

=====

VASP calculation (PBE-GGA) on a relaxed structure of Tb3Pm7Sc.

Computed properties:
Offset from the most stable computed form, meV/atom: 0
Space-group type: P1
N(E_F), states/eV/f.u.: 16.4
Theoretical density, kg/m3: 6939
E, eV/atom: -4.75
Formation energy from the elements, eV per atom: 0.11

Unit cell a=8.6519 b=10.1857 c=14.1885 alpha=95.62 beta=99.52 gamma=140.31
With the nearest neighbours (Å) after each atom.
Element x y z (fractional)
Tb (0.1885, 0.7332, 0.7230)  4 Pm 3.33-3.68, 2 Tb 3.45-3.58, 1 Sc 3.70
Tb (0.0934, 0.0271, 0.0607)  2 Sc 3.39, 7 Pm 3.42-3.71
Tb (0.9896, 0.9818, 0.5062)  6 Pm 3.27-3.65, 2 Sc 3.40-3.44, 2 Tb 3.46-3.65
Tb (0.4086, 0.7605, 0.3450)  7 Pm 3.43-3.76, 2 Tb 3.65
Tb (0.5521, 0.1941, 0.6416)  1 Sc 3.33, 5 Pm 3.41-3.52, 3 Tb 3.45-3.58
Tb (0.7001, 0.2395, 0.2254)  8 Pm 3.36-3.71, 1 Tb 3.65
Pm (0.0538, 0.6991, 0.1411)  5 Pm 3.42-3.73, 4 Tb 3.42-3.60, 1 Sc 3.45
Pm (0.0912, 0.0239, 0.7714)  4 Pm 3.36-3.75, 2 Sc 3.45-3.62, 2 Tb 3.62-3.68
Pm (0.9904, 0.3229, 0.4998)  5 Pm 3.38-3.77, 2 Tb 3.48-3.53
Pm (0.1262, 0.4022, 0.1080)  1 Sc 3.28, 6 Pm 3.42-3.62, 3 Tb 3.43-3.59
Pm (0.4914, 0.8257, 0.9964)  5 Pm 3.36-3.62, 1 Sc 3.46, 1 Tb 3.71
Pm (0.6106, 0.8887, 0.6069)  4 Tb 3.27-3.52, 5 Pm 3.45-3.64, 1 Sc 3.64
Pm (0.3900, 0.5172, 0.7511)  2 Sc 3.36-3.62, 5 Pm 3.40-3.72, 1 Tb 3.73
Pm (0.6039, 0.5346, 0.2660)  4 Pm 3.39-3.73, 3 Tb 3.52-3.71, 1 Sc 3.60
Pm (0.5316, 0.1735, 0.9666)  7 Pm 3.36-3.67, 3 Tb 3.43-3.74, 1 Sc 3.46
Pm (0.3788, 0.1101, 0.3805)  4 Tb 3.36-3.76, 4 Pm 3.48-3.64, 1 Sc 3.52
Pm (0.8604, 0.5939, 0.8739)  3 Tb 3.33-3.58, 1 Sc 3.39, 4 Pm 3.43-3.67
Pm (0.0318, 0.6717, 0.4662)  5 Pm 3.38-3.57, 5 Tb 3.41-3.70, 1 Sc 3.45
Pm (0.8949, 0.0262, 0.2511)  4 Tb 3.43-3.73, 4 Pm 3.53-3.72
Pm (0.9122, 0.2582, 0.8456)  6 Pm 3.40-3.77, 2 Tb 3.47-3.72, 1 Sc 3.60
Sc (0.4965, 0.4903, 0.0021)  9 Pm 3.28-3.62, 2 Tb 3.39
Sc (0.6040, 0.5255, 0.5715)  4 Tb 3.33-3.70, 5 Pm 3.36-3.64

=====

VASP calculation (PBE-GGA) on a relaxed structure of Tb6Pm8Sc.

Computed properties:
Offset from the most stable computed form, meV/atom: 26
Space-group type: R-3
N(E_F), states/eV/f.u.: 22.5
Theoretical density, kg/m3: 7243
E, eV/atom: -4.63
Formation energy from the elements, eV per atom: 0.18

Unit cell a=9.8372 b=9.8372 c=8.1928 alpha=53.10 beta=53.10 gamma=60.00
With the nearest neighbours (Å) after each atom.
Element x y z (fractional)
Tb (0.3819, 0.9294, 0.9721)  2 Pm 3.12-3.32, 1 Sc 3.35, 2 Tb 3.36
Tb (0.0706, 0.2835, 0.0279)  2 Pm 3.12-3.32, 1 Sc 3.35, 2 Tb 3.36
Tb (0.2835, 0.6181, 0.0279)  2 Pm 3.12-3.32, 1 Sc 3.35, 2 Tb 3.36
Tb (0.7165, 0.3819, 0.9721)  2 Pm 3.12-3.32, 1 Sc 3.35, 2 Tb 3.36
Tb (0.9294, 0.7165, 0.9721)  2 Pm 3.12-3.32, 1 Sc 3.35, 2 Tb 3.36
Tb (0.6181, 0.0706, 0.0279)  2 Pm 3.12-3.32, 1 Sc 3.35, 2 Tb 3.36
Pm (0.3503, 0.2285, 0.4880)  3 Tb 3.32-3.55, 4 Pm 3.65-3.71, 1 Sc 3.69
Pm (0.7715, 0.0667, 0.5120)  3 Tb 3.32-3.55, 4 Pm 3.65-3.71, 1 Sc 3.69
Pm (0.0667, 0.6497, 0.5120)  3 Tb 3.32-3.55, 4 Pm 3.65-3.71, 1 Sc 3.69
Pm (0.5893, 0.5893, 0.2322)  3 Tb 3.12, 1 Pm 3.16
Pm (0.4107, 0.4107, 0.7678)  3 Tb 3.12, 1 Pm 3.16
Pm (0.9333, 0.3503, 0.4880)  3 Tb 3.32-3.55, 4 Pm 3.65-3.71, 1 Sc 3.69
Pm (0.2285, 0.9333, 0.4880)  3 Tb 3.32-3.55, 4 Pm 3.65-3.71, 1 Sc 3.69
Pm (0.6497, 0.7715, 0.5120)  3 Tb 3.32-3.55, 4 Pm 3.65-3.71, 1 Sc 3.69
Sc (0.0000, 0.0000, 0.0000)  6 Tb 3.35, 6 Pm 3.69

=====

In the order shown, the computed magnetization values come out to 0.00; 0.00; 0.00; 0.95; 0.00; 0.00 μB per cell.